Density functional theory data (PBE) for a relaxed structure of Na2SrCd2.

Cell: 12.3323 4.5272 6.3955 Å, 90.00 103.98 90.00°
Space group C2/m (No. 12)
One atom of each set of equivalent atoms:
Na  0.1446  0.0000  0.0654
Sr  0.0000  0.5000  0.5000
Cd  0.2160  0.0000  0.6156

E_form	-0.11	eV/atom
energy relative to the lowest polymorph listed for this composition	50.6	meV per atom
electronic total energy	-1.343	eV/atom

Density functional theory data (PBE) for a relaxed structure of Na3SrCd3.

Cell: 8.2353 8.2353 8.2353 Å, 90.00 90.00 90.00°
Space group Pm-3n (No. 223)
One atom of each set of equivalent atoms:
Na  0.0000  0.2500  0.5000
Sr  0.0000  0.0000  0.0000
Cd  0.0000  0.5000  0.2500

E_form	0.23	eV/atom
electronic total energy	-0.965	eV/atom

Density functional theory data (PBE) for a relaxed structure of Na3Sr4Cd.

Cell: 4.1121 4.1121 20.0936 Å, 90.00 90.00 90.00°
Space group P4/mmm (No. 123)
One atom of each set of equivalent atoms:
Na  0.0000  0.0000  0.0000
Na  0.0000  0.0000  0.2675
Sr  0.5000  0.5000  0.1340
Sr  0.5000  0.5000  0.4019
Cd  0.0000  0.0000  0.5000

E_form	-0.07	eV/atom
electronic total energy	-1.516	eV/atom

Density functional theory data (PBE) for a relaxed structure of Na3SrCd8.

Cell: 5.9975 5.9975 30.3538 Å, 90.00 90.00 120.00°
Space group R3m (No. 160, hexagonal axes)
One atom of each set of equivalent atoms:
Na  0.0000  0.0000  0.0000
Na  0.0000  0.0000  0.1216
Na  0.0000  0.0000  0.6284
Sr  0.0000  0.0000  0.5008
Cd  0.0000  0.0000  0.3137
Cd  0.0000  0.0000  0.8128
Cd  0.0000  0.5000  0.5646
Cd  0.1672  0.3344  0.3960

E_form	-0.17	eV/atom
energy relative to the lowest polymorph listed for this composition	7.9	meV per atom
electronic total energy	-1.252	eV/atom

Density functional theory data (PBE) for a relaxed structure of Na2SrCd.

Cell: 5.6742 5.6742 17.9008 Å, 90.00 90.00 90.00°
Space group I4/mmm (No. 139)
One atom of each set of equivalent atoms:
Na  0.0000  0.0000  0.1417
Na  0.0000  0.5000  0.0000
Sr  0.0000  0.0000  0.3529
Cd  0.0000  0.5000  0.2500

E_form	-0.08	eV/atom
electronic total energy	-1.392	eV/atom

Density functional theory data (PBE) for a relaxed structure of Na3SrCd.

Cell: 5.8843 5.8843 5.8843 Å, 90.00 90.00 90.00°
Space group Pm-3m (No. 221)
One atom of each set of equivalent atoms:
Na  0.0000  0.0000  0.5000
Sr  0.5000  0.5000  0.5000
Cd  0.0000  0.0000  0.0000

E_form	0.10	eV/atom
energy relative to the lowest polymorph listed for this composition	152.2	meV per atom
electronic total energy	-1.213	eV/atom

Density functional theory data (PBE) for a relaxed structure of NaSr2Cd10.

Cell: 6.9571 19.1389 6.1812 Å, 90.00 90.00 90.00°
Space group Pbam (No. 55)
One atom of each set of equivalent atoms:
Na  0.0000  0.0000  0.0000
Sr  0.1217  0.3242  0.5000
Cd  0.0726  0.7274  0.0000
Cd  0.0925  0.5662  0.0000
Cd  0.1263  0.1511  0.2686
Cd  0.2231  0.8688  0.0000

E_form	-0.07	eV/atom
electronic total energy	-1.136	eV/atom

Density functional theory data (PBE) for a relaxed structure of NaSr6Cd.

Cell: 5.9938 5.9938 20.7418 Å, 90.00 90.00 90.00°
Space group I4/mmm (No. 139)
One atom of each set of equivalent atoms:
Na  0.0000  0.0000  0.0000
Sr  0.0000  0.0000  0.2490
Sr  0.0000  0.5000  0.1015
Cd  0.0000  0.0000  0.5000

E_form	-0.06	eV/atom
energy relative to the lowest polymorph listed for this composition	0.0	meV per atom
electronic total energy	-1.599	eV/atom

Density functional theory data (PBE) for a relaxed structure of NaSr2Cd6.

Cell: 8.8711 8.8711 3.8024 Å, 90.00 90.00 120.00°
Space group P6/mmm (No. 191)
One atom of each set of equivalent atoms:
Na  0.0000  0.0000  0.0000
Sr  0.3333  0.6667  0.0000
Cd  0.0000  0.3283  0.5000

E_form	-0.25	eV/atom
electronic total energy	-1.378	eV/atom

Density functional theory data (PBE) for a relaxed structure of Na2SrCd6.

Cell: 3.6121 8.7906 15.1852 Å, 90.00 90.00 90.00°
Space group Immm (No. 71)
One atom of each set of equivalent atoms:
Na  0.0000  0.0000  0.1454
Sr  0.0000  0.5000  0.0000
Cd  0.0000  0.1766  0.3241
Cd  0.0000  0.3324  0.5000

E_form	-0.15	eV/atom
energy relative to the lowest polymorph listed for this composition	18.2	meV per atom
electronic total energy	-1.239	eV/atom